Density functional theory data (PBE-GGA) for a relaxed SrAgH4 crystal.

Calculated values
Total energy, eV/cell: -36.3
DOS at the Fermi energy, states/eV/cell: 1.82
Calculated volume, Å³ per atom: 11.76
Density, g/cm3: 4.696

Geometry as extended XYZ:
```
12
Lattice="5.449 -2.795 0.000 5.449 2.795 0.000 -2.335 0.000 4.632" Properties=species:S:1:pos:R:3 pbc="T T T"
Sr 3.698 1.453 3.474
Sr 4.865 -1.453 1.158
Ag 2.725 1.398 0.000
Ag 1.557 -1.398 2.316
H 0.427 0.011 3.125
H 1.594 -0.011 0.809
H 4.207 0.839 0.751
H 5.523 0.839 1.565
H 3.040 -0.839 3.068
H 4.356 -0.839 3.881
H 6.969 0.011 3.823
H 8.137 -0.011 1.507
```